[1]
Computed, not measured: a relaxed structure of Ba2Cu4BiSb3 at the PBE-GGA level of DFT.

Summary:
Formation energy (no corrections) (kJ/mol of atoms): -42
Total energy (eV per atom): -4.09
DOS(E_F) (states/eV per atom): 0.38

Cell: 4.767 4.767 10.875 Å, 90.00 90.00 90.00°
Sites, in units of the cell vectors:
Ba  0.000  0.500  0.235
Ba  0.500  0.000  0.765
Cu  0.000  0.000  0.000
Cu  0.000  0.500  0.634
Cu  0.500  0.000  0.366
Cu  0.500  0.500  0.000
Bi  0.000  0.000  0.500
Sb  0.000  0.500  0.877
Sb  0.500  0.000  0.123
Sb  0.500  0.500  0.500


[2]
Computed, not measured: a relaxed structure of BaCuBiSe3 at the PBE-GGA level of DFT.

Summary:
Formation energy (no corrections) (kJ/mol of atoms): -86
Total energy (eV per atom): -4.28

Cell: 9.061 4.244 9.291 Å, 90.00 103.90 90.00°
Sites, in units of the cell vectors:
Ba  0.181  0.250  0.245
Ba  0.819  0.750  0.755
Cu  0.073  0.250  0.580
Cu  0.927  0.750  0.420
Bi  0.333  0.750  0.842
Bi  0.667  0.250  0.158
Se  0.111  0.250  0.864
Se  0.208  0.750  0.520
Se  0.440  0.750  0.170
Se  0.560  0.250  0.830
Se  0.792  0.250  0.480
Se  0.889  0.750  0.136


[3]
Computed, not measured: a relaxed structure of BaCuBiSe2 at the PBE-GGA level of DFT.

Summary:
Formation energy (no corrections) (kJ/mol of atoms): -51
Total energy (eV per atom): -3.90
DOS(E_F) (states/eV per atom): 0.05

Cell: 5.772 5.772 4.869 Å, 90.00 90.00 90.00°
Sites, in units of the cell vectors:
Ba  0.000  0.000  0.000
Cu  0.500  0.500  0.000
Bi  0.500  0.500  0.500
Se  0.000  0.500  0.500
Se  0.500  0.000  0.500


[4]
Computed, not measured: a relaxed structure of BaCu2BiSe at the PBE-GGA level of DFT.

Summary:
Formation energy (no corrections) (kJ/mol of atoms): -4
Total energy (eV per atom): -3.54
DOS(E_F) (states/eV per atom): 0.96

Cell: 4.911 4.911 7.285 Å, 90.00 90.00 90.00°
Sites, in units of the cell vectors:
Ba  0.000  0.000  0.000
Cu  0.000  0.500  0.500
Cu  0.500  0.000  0.500
Bi  0.000  0.000  0.500
Se  0.500  0.500  0.000


[5]
Computed, not measured: a relaxed structure of BaCuBi2Se4 at the PBE-GGA level of DFT.

Summary:
Formation energy (no corrections) (kJ/mol of atoms): -65
Total energy (eV per atom): -4.14
DOS(E_F) (states/eV per atom): 0.12

Cell: 7.184 7.184 14.613 Å, 90.00 90.00 143.10°
Sites, in units of the cell vectors:
Ba  0.121  0.879  0.750
Ba  0.879  0.121  0.250
Cu  0.142  0.858  0.250
Cu  0.858  0.142  0.750
Bi  0.372  0.628  0.552
Bi  0.372  0.628  0.948
Bi  0.628  0.372  0.052
Bi  0.628  0.372  0.448
Se  0.000  0.000  0.000
Se  0.000  0.000  0.500
Se  0.264  0.736  0.117
Se  0.264  0.736  0.383
Se  0.439  0.561  0.750
Se  0.561  0.439  0.250
Se  0.736  0.264  0.617
Se  0.736  0.264  0.883


[6]
Computed, not measured: a relaxed structure of BaCuSnBi2 at the PBE-GGA level of DFT.

Summary:
ΔE_f (eV per atom): -0.193
Total energy (eV per atom): -3.75
DOS(E_F) (states/eV per atom): 0.69

Cell: 5.506 5.506 5.237 Å, 90.00 90.00 90.00°
Sites, in units of the cell vectors:
Ba  0.000  0.000  0.000
Cu  0.500  0.500  0.500
Sn  0.500  0.500  0.000
Bi  0.000  0.500  0.500
Bi  0.500  0.000  0.500


[7]
Computed, not measured: a relaxed structure of BaSrCuBi at the PBE-GGA level of DFT.

Summary:
ΔE_f (eV per atom): -0.469
Total energy (eV per atom): -3.36
DOS(E_F) (states/eV per atom): 0.02

Cell: 8.195 8.195 8.195 Å, 90.00 90.00 90.00°
Sites, in units of the cell vectors:
Ba  0.000  0.000  0.000
Ba  0.000  0.500  0.500
Ba  0.500  0.000  0.500
Ba  0.500  0.500  0.000
Sr  0.000  0.000  0.500
Sr  0.000  0.500  0.000
Sr  0.500  0.000  0.000
Sr  0.500  0.500  0.500
Cu  0.250  0.250  0.250
Cu  0.250  0.750  0.750
Cu  0.750  0.250  0.750
Cu  0.750  0.750  0.250
Bi  0.250  0.250  0.750
Bi  0.250  0.750  0.250
Bi  0.750  0.250  0.250
Bi  0.750  0.750  0.750


[8]
Computed, not measured: a relaxed structure of BaTlCuBi2 at the PBE-GGA level of DFT.

Summary:
ΔE_f (eV per atom): -0.220
Total energy (eV per atom): -3.45
DOS(E_F) (states/eV per atom): 0.45

Cell: 5.497 5.497 5.377 Å, 90.00 90.00 90.00°
Sites, in units of the cell vectors:
Ba  0.000  0.000  0.000
Tl  0.500  0.500  0.000
Cu  0.500  0.500  0.500
Bi  0.000  0.500  0.500
Bi  0.500  0.000  0.500


[9]
Computed, not measured: a relaxed structure of BaTl2CuBi at the PBE-GGA level of DFT.

Summary:
ΔE_f (eV per atom): -0.175
Total energy (eV per atom): -3.10
DOS(E_F) (states/eV per atom): 0.55

Cell: 5.283 5.283 5.744 Å, 90.00 90.00 90.00°
Sites, in units of the cell vectors:
Ba  0.000  0.000  0.000
Tl  0.000  0.500  0.500
Tl  0.500  0.000  0.500
Cu  0.500  0.500  0.500
Bi  0.500  0.500  0.000


[10]
Computed, not measured: a relaxed structure of BaCuBiW2 at the PBE-GGA level of DFT.

Summary:
ΔE_f (eV per atom): 2.964
Total energy (eV per atom): -4.20
DOS(E_F) (states/eV per atom): 1.05

Cell: 5.209 5.209 5.057 Å, 90.00 90.00 90.00°
Sites, in units of the cell vectors:
Ba  0.000  0.000  0.000
Cu  0.000  0.000  0.500
Bi  0.500  0.500  0.500
W  0.000  0.500  0.000
W  0.500  0.000  0.000


[11]
Computed, not measured: a relaxed structure of BaZnCu2Bi at the PBE-GGA level of DFT.

Summary:
ΔE_f (eV per atom): 0.278
Total energy (eV per atom): -2.78
DOS(E_F) (states/eV per atom): 0.75

Cell: 5.129 5.129 5.700 Å, 90.00 90.00 90.00°
Sites, in units of the cell vectors:
Ba  0.000  0.000  0.000
Zn  0.500  0.500  0.000
Cu  0.000  0.500  0.500
Cu  0.500  0.000  0.500
Bi  0.500  0.500  0.500


[12]
Computed, not measured: a relaxed structure of Ba2ZnCuBi at the PBE-GGA level of DFT.

Summary:
ΔE_f (eV per atom): -0.179
Total energy (eV per atom): -2.80
DOS(E_F) (states/eV per atom): 0.74

Cell: 6.301 6.301 4.589 Å, 90.00 90.00 90.00°
Sites, in units of the cell vectors:
Ba  0.000  0.500  0.000
Ba  0.500  0.000  0.000
Zn  0.000  0.000  0.000
Cu  0.000  0.000  0.500
Bi  0.500  0.500  0.500